A relaxed Rb2YWF crystal. Source: Alexandria via LeMat-Bulk, functional PBE with a Hubbard U.

a = 5.011 Å, b = 5.011 Å, c = 7.331 Å
α = 90.00°, β = 90.00°, γ = 90.00°
Atoms (fractional coordinates):
1 Rb 0.000 0.500 0.000
2 Rb 0.500 0.000 0.000
3 Y 0.000 0.000 0.500
4 W 0.500 0.500 0.500
5 F 0.500 0.500 0.000

- Total moment: 4.43 μB/cell
- Space group: P4/mmm, No. 123
- Total DFT energy (no corrections): -3.4417 eV/atom